(1)
Entry from the Alexandria database: an optimized crystal structure of Ac5In (PBE).

Values from the calculation:
Spin magnetization, μB per formula unit: 0.00
Energy relative to the lowest polymorph listed for this composition, eV per atom: 0.068

Lattice parameters (Å, degrees): 6.3712 6.3135 6.8573 117.41 90.00 90.00
With the nearest neighbours (Å) after each atom.
Fractional coordinates of all 6 atoms:
Ac: 0.5000 0.6554 0.3107  7 Ac 3.68-3.93, 2 In 3.70
Ac: 0.0000 0.8437 0.6874  2 In 3.69, 7 Ac 3.71-3.93
Ac: 0.5000 0.0000 0.0000  8 Ac 3.68-3.71
Ac: 0.0000 0.1563 0.3126  2 In 3.69, 7 Ac 3.71-3.93
Ac: 0.5000 0.3446 0.6893  7 Ac 3.68-3.93, 2 In 3.70
In: 0.0000 0.5000 0.0000  8 Ac 3.69-3.70



(2)
Entry from the Alexandria database: an optimized crystal structure of Ac13In2 (PBE).

Values from the calculation:
Spin magnetization, μB per formula unit: 0.00

Lattice parameters (Å, degrees): 7.0774 9.3110 10.6143 110.84 77.63 97.94
With the nearest neighbours (Å) after each atom.
Fractional coordinates of all 15 atoms:
Ac: 0.7478 0.5954 0.0566  11 Ac 3.83-4.21
Ac: 0.2522 0.4046 0.9434  11 Ac 3.83-4.21
Ac: 0.0000 0.0000 0.0000  12 Ac 3.87-4.14
Ac: 0.2810 0.0083 0.6465  2 In 3.47-3.60, 5 Ac 3.75-3.87
Ac: 0.7190 0.9917 0.3535  2 In 3.47-3.60, 5 Ac 3.75-3.87
Ac: 0.0478 0.5798 0.7063  2 In 3.51-3.54, 2 Ac 3.83-3.86
Ac: 0.9522 0.4202 0.2937  2 In 3.51-3.54, 2 Ac 3.83-3.86
Ac: 0.4557 0.6246 0.4132  1 In 3.43, 3 Ac 3.62-3.84
Ac: 0.5443 0.3754 0.5868  1 In 3.43, 3 Ac 3.62-3.84
Ac: 0.5233 0.7947 0.8494  1 In 3.61, 5 Ac 3.91-4.02
Ac: 0.4767 0.2053 0.1506  1 In 3.61, 5 Ac 3.91-4.02
Ac: 0.7896 0.1782 0.7679  2 In 3.61-3.74, 5 Ac 3.80-4.02
Ac: 0.2104 0.8218 0.2321  2 In 3.61-3.74, 5 Ac 3.80-4.02
In: 0.8687 0.7880 0.5435  8 Ac 3.43-3.74
In: 0.1313 0.2120 0.4565  8 Ac 3.43-3.74



no.,energy (eV for the cell shown),formation energy from the elements (meV/atom)
1,-23.57,-47.6
2,-60.04,-76.6